VASP calculation (PBE-GGA) on an optimized crystal structure of Ni2BI.

a = 6.0380 Å, b = 6.0380 Å, c = 6.0380 Å
α = 90.00°, β = 90.00°, γ = 90.00°
Atoms (fractional coordinates):
Ni: 0.2500 0.2500 0.2500
Ni: 0.2500 0.2500 0.7500
Ni: 0.2500 0.7500 0.2500
Ni: 0.2500 0.7500 0.7500
Ni: 0.7500 0.2500 0.2500
Ni: 0.7500 0.2500 0.7500
Ni: 0.7500 0.7500 0.2500
Ni: 0.7500 0.7500 0.7500
B: 0.0000 0.0000 0.0000
B: 0.0000 0.5000 0.5000
B: 0.5000 0.0000 0.5000
B: 0.5000 0.5000 0.0000
I: 0.0000 0.0000 0.5000
I: 0.0000 0.5000 0.0000
I: 0.5000 0.0000 0.0000
I: 0.5000 0.5000 0.5000

Its polymorph energy (0 for the lowest one) is 698.5 meV/atom. Its final energy is -3.85 eV/atom. Its magnetization is 0.00 μB/cell. The value obtained for the calculated volume is 13.76 A^3/atom. As for the formation energy from raw total energies: 1.10 eV per atom. For the density of states at the Fermi level, the calculation gives 1.9 states/eV/f.u.